MnNbO2 after structural relaxation, computed with PBE with a Hubbard U.

The uncorrected energy is -33.546 eV per formula unit. As for the energy above the most stable polymorph in this dataset: 0 meV per atom. The crystal system is trigonal. The calculation puts the total moment at 4.99 μB/f.u.

It has space group R-3m (No. 166, hexagonal axes), with a = 3.1658 Å, b = 3.1658 Å, c = 18.5966 Å, α = 90.00°, β = 90.00° and γ = 120.00°. Symmetry generates all atoms from Mn at (0.0000, 0.0000, 0.0000), Nb at (0.0000, 0.0000, 0.5000) and O at (0.0000, 0.0000, 0.3956).